GaCoGePt after structural relaxation. Source: Alexandria, functional GGA-PBE.

Structure (CIF):
```
data_GaCoGePt
_symmetry_space_group_name_H-M 'C 1 m 1'
_symmetry_Int_Tables_number 8
_cell_length_a 5.145
_cell_length_b 2.950
_cell_length_c 7.805
_cell_angle_alpha 90.00
_cell_angle_beta 103.09
_cell_angle_gamma 90.00
loop_
_symmetry_equiv_pos_as_xyz
'x,y,z'
'x,-y,z'
'x+1/2,y+1/2,z'
'x+1/2,-y+1/2,z'
loop_
_atom_site_label
_atom_site_type_symbol
_atom_site_fract_x
_atom_site_fract_y
_atom_site_fract_z
Ga1 Ga 0.000 0.000 0.000
Co1 Co 0.088 0.500 0.761
Ge1 Ge 0.345 0.500 0.543
Pt1 Pt 0.423 0.000 0.276
```

Summary:
As for the energy relative to the elements: -0.22 eV/atom. The crystal system is monoclinic. The total magnetization is 0.0 μB per cell. Its polymorph energy (0 for the lowest one) is 96 meV/atom.